# 1
Below is crystalline Na3PbI at its relaxed geometry, with properties calculated at the PBE-GGA level.

Cell: 5.8526 5.8526 5.8526 Å, 90.00 90.00 90.00°
Space group Pm-3m (No. 221)
Asymmetric unit:
Na 0.0000 0.0000 0.5000 x3
Pb 0.5000 0.5000 0.5000 x1
I 0.0000 0.0000 0.0000 x1

Results
The total DFT energy (no corrections) comes out at -2.0625 eV/atom. For the energy above the lowest structure with this stoichiometry, the calculation gives 0.000 eV per formula unit. The density of states at the Fermi level is 0.639 states/eV per atom. The spin magnetization comes out at 0.00 μB/f.u. As for the calculated density: 3339 kg/m³. For the uncorrected formation energy, the calculation gives -0.219 eV/atom.

# 2
Below is crystalline Tb3SmTm6Th2 at its relaxed geometry, with properties calculated at the PBE-GGA level.

Cell: 6.1405 10.6290 11.6268 Å, 90.00 100.15 90.00°
Space group C2/m (No. 12)
Asymmetric unit:
Tb 0.0000 0.0000 0.0000 x2
Tb 0.0000 0.3338 0.0000 x4
Sm 0.0000 0.5000 0.5000 x2
Tm 0.2452 0.0000 0.7484 x4
Tm 0.2480 0.1689 0.2518 x8
Th 0.0000 0.1667 0.5000 x4

Results
The total DFT energy (no corrections) comes out at -4.9962 eV/atom. The density of states at the Fermi level is 1.323 states/eV per atom. The spin magnetization comes out at 0.00 μB/f.u. As for the calculated density: 9358 kg/m³. For the formation energy from the elements, the calculation gives 2.6 kJ/mol of atoms.

# 3
Below is crystalline LaIn2Au at its relaxed geometry, with properties calculated at the PBE-GGA level.

Cell: 3.7892 4.5220 6.5161 Å, 90.00 106.00 90.00°
Space group Pm (No. 6)
Asymmetric unit:
La 0.0000 0.0000 0.0000 x1
In 0.3278 0.5000 0.6590 x1
In 0.7297 0.0000 0.4689 x1
Au 0.5807 0.5000 0.1766 x1

Results
The total DFT energy (no corrections) comes out at -3.8725 eV/atom. The density of states at the Fermi level is 0.466 states/eV per atom. The spin magnetization comes out at 0.00 μB/f.u. As for the calculated density: 8750 kg/m³. For the formation energy from the elements, the calculation gives -43.6 kJ/mol of atoms.

# 4
Below is crystalline Dy8Ni2Os at its relaxed geometry, with properties calculated at the PBE-GGA level.

Cell: 17.0125 5.0091 6.6502 Å, 90.00 106.07 90.00°
Space group C2/m (No. 12)
Asymmetric unit:
Dy 0.0359 0.0000 0.2949 x4
Dy 0.0914 0.5000 0.9425 x4
Dy 0.1700 0.5000 0.4747 x4
Dy 0.2003 0.0000 0.8231 x4
Ni 0.1897 0.0000 0.2139 x4
Os 0.0000 0.5000 0.5000 x2

Results
The total DFT energy (no corrections) comes out at -5.6363 eV/atom. For the energy above the lowest structure with this stoichiometry, the calculation gives 0.000 eV per formula unit. The density of states at the Fermi level is 1.079 states/eV per atom. The spin magnetization comes out at 0.00 μB/f.u. As for the calculated density: 9804 kg/m³. For the formation energy from the elements, the calculation gives -21.0 kJ/mol of atoms.

# 5
Below is crystalline GaTeO at its relaxed geometry, with properties calculated at the PBE-GGA level.

Cell: 6.9764 5.2067 7.8379 Å, 90.00 103.88 90.00°
Space group P2_1 (No. 4)
Asymmetric unit:
Ga 0.0562 0.0000 0.3982 x2
Ga 0.0600 0.0164 0.8341 x2
Te 0.2688 0.6587 0.0496 x2
Te 0.4096 0.9949 0.3411 x2
O 0.0199 0.8502 0.6098 x2
O 0.1350 0.3354 0.7740 x2

Results
The total DFT energy (no corrections) comes out at -4.7217 eV/atom. The spin magnetization comes out at 0.00 μB/f.u. As for the calculated density: 5127 kg/m³. For the uncorrected formation energy, the calculation gives -1.013 eV/atom.

# 6
Below is crystalline PaSi2Au at its relaxed geometry, with properties calculated at the PBE-GGA level.

Cell: 4.1140 4.1140 18.0652 Å, 90.00 90.00 90.00°
Space group I4/mmm (No. 139)
Asymmetric unit:
Pa 0.0000 0.0000 0.1119 x4
Si 0.0000 0.0000 0.3560 x4
Si 0.0000 0.5000 0.0000 x4
Au 0.0000 0.5000 0.2500 x4

Results
The total DFT energy (no corrections) comes out at -6.2766 eV/atom. The density of states at the Fermi level is 0.812 states/eV per atom. The spin magnetization comes out at 0.00 μB/f.u. As for the calculated density: 10518 kg/m³. For the uncorrected formation energy, the calculation gives -0.372 eV/atom.

# 7
Below is crystalline Sc3AgO at its relaxed geometry, with properties calculated at the PBE-GGA level.

Cell: 6.2508 6.2508 5.1806 Å, 90.00 90.00 120.00°
Space group P6_3/m (No. 176)
Asymmetric unit:
Sc 0.1054 0.7749 0.2500 x6
Ag 0.3333 0.6667 0.7500 x2
O 0.0000 0.0000 0.0000 x2

Results
The total DFT energy (no corrections) comes out at -6.6549 eV/atom. For the energy above the lowest structure with this stoichiometry, the calculation gives 0.364 eV per formula unit. The density of states at the Fermi level is 0.599 states/eV per atom. The spin magnetization comes out at 0.00 μB/f.u. As for the calculated density: 4902 kg/m³. For the uncorrected formation energy, the calculation gives -1.294 eV/atom.

# 8
Below is crystalline BaTl3 at its relaxed geometry, with properties calculated at the PBE-GGA level.

Cell: 4.6873 4.6873 8.1772 Å, 90.00 90.00 120.00°
Space group P-6m2 (No. 187)
Asymmetric unit:
Ba 0.0000 0.0000 0.0000 x1
Tl 0.0000 0.0000 0.5000 x1
Tl 0.6667 0.3333 0.2964 x2

Results
The total DFT energy (no corrections) comes out at -2.3824 eV/atom. The density of states at the Fermi level is 0.507 states/eV per atom. The spin magnetization comes out at 0.00 μB/f.u. As for the calculated density: 8009 kg/m³. For the formation energy from the elements, the calculation gives -12.3 kJ/mol of atoms.

# 9
Below is crystalline SiTcMo at its relaxed geometry, with properties calculated at the PBE-GGA level.

Cell: 4.1988 4.1988 2.8581 Å, 90.00 90.00 120.00°
Space group P-6m2 (No. 187)
Asymmetric unit:
Si 0.0000 0.0000 0.0000 x1
Tc 0.3333 0.6667 0.0000 x1
Mo 0.6667 0.3333 0.5000 x1

Results
The total DFT energy (no corrections) comes out at -9.0843 eV/atom. For the energy above the lowest structure with this stoichiometry, the calculation gives 0.487 eV per formula unit. The density of states at the Fermi level is 0.615 states/eV per atom. The spin magnetization comes out at 0.00 μB/f.u. As for the calculated density: 8449 kg/m³. For the uncorrected formation energy, the calculation gives -0.211 eV/atom.

# 10
Below is crystalline RbCaTbBr6 at its relaxed geometry, with properties calculated at the PBE-GGA level.

Cell: 7.5006 7.5006 15.0562 Å, 90.00 90.00 120.00°
Space group P-31c (No. 163)
Asymmetric unit:
Rb 0.0000 0.0000 0.0000 x2
Ca 0.3333 0.6667 0.2500 x2
Tb 0.3333 0.6667 0.7500 x2
Br 0.0090 0.3786 0.6412 x12

Results
The total DFT energy (no corrections) comes out at -3.8973 eV/atom. The density of states at the Fermi level is 0.000 states/eV per atom. The spin magnetization comes out at 0.00 μB/f.u. As for the calculated density: 3458 kg/m³. For the uncorrected formation energy, the calculation gives -1.938 eV/atom.

# 11
Below is crystalline FePPd at its relaxed geometry, with properties calculated at the PBE-GGA level.

Cell: 5.4512 5.4512 5.4512 Å, 90.00 90.00 90.00°
Space group F-43m (No. 216)
Asymmetric unit:
Fe 0.0000 0.0000 0.0000 x4
P 0.2500 0.2500 0.7500 x4
Pd 0.0000 0.0000 0.5000 x4

Results
The total DFT energy (no corrections) comes out at -6.6800 eV/atom. The density of states at the Fermi level is 0.919 states/eV per atom. The spin magnetization comes out at 0.35 μB/f.u. As for the calculated density: 7924 kg/m³. For the formation energy from the elements, the calculation gives -31.3 kJ/mol of atoms.

# 12
Below is crystalline SnBi4I at its relaxed geometry, with properties calculated at the PBE-GGA level.

Cell: 12.0780 9.7844 8.1695 Å, 90.00 112.14 90.00°
Space group C2/m (No. 12)
Asymmetric unit:
Sn 0.1436 0.0000 0.4430 x4
Bi 0.0000 0.2409 0.5000 x4
Bi 0.1039 0.1591 0.9321 x8
Bi 0.1922 0.5000 0.7524 x4
I 0.1461 0.5000 0.2142 x4

Results
The total DFT energy (no corrections) comes out at -3.5041 eV/atom. The density of states at the Fermi level is 0.392 states/eV per atom. The spin magnetization comes out at 0.00 μB/f.u. As for the calculated density: 8033 kg/m³. For the uncorrected formation energy, the calculation gives 0.009 eV/atom.

# 13
Below is crystalline LiFeIr at its relaxed geometry, with properties calculated at the PBE-GGA level.

Cell: 4.6643 4.2057 7.3335 Å, 90.00 90.00 90.00°
Space group Pnma (No. 62)
Asymmetric unit:
Li 0.1472 0.2500 0.0041 x4
Fe 0.1559 0.2500 0.3342 x4
Ir 0.1455 0.2500 0.6621 x4

Results
The total DFT energy (no corrections) comes out at -6.3059 eV/atom. For the energy above the lowest structure with this stoichiometry, the calculation gives 0.435 eV per formula unit. The density of states at the Fermi level is 1.132 states/eV per atom. The spin magnetization comes out at 0.00 μB/f.u. As for the calculated density: 11774 kg/m³. For the formation energy from the elements, the calculation gives 10.3 kJ/mol of atoms.

# 14
Below is crystalline SbTeAs2 at its relaxed geometry, with properties calculated at the PBE-GGA level.

Cell: 4.0936 4.0936 21.1880 Å, 90.00 90.00 120.00°
Space group R3m (No. 160, hexagonal axes)
Asymmetric unit:
Sb 0.0000 0.0000 0.0000 x3
Te 0.0000 0.0000 0.7614 x3
As 0.0000 0.0000 0.2508 x3
As 0.0000 0.0000 0.5166 x3

Results
The total DFT energy (no corrections) comes out at -4.0597 eV/atom. For the energy above the lowest structure with this stoichiometry, the calculation gives 0.040 eV per formula unit. The density of states at the Fermi level is 0.450 states/eV per atom. The spin magnetization comes out at 0.00 μB/f.u. As for the calculated density: 6468 kg/m³. For the uncorrected formation energy, the calculation gives 0.081 eV/atom.

# 15
Below is crystalline NiGeBH2 at its relaxed geometry, with properties calculated at the PBE-GGA level.

Cell: 3.1605 3.1605 4.9329 Å, 90.00 90.00 90.00°
Space group P4/mmm (No. 123)
Asymmetric unit:
Ni 0.0000 0.0000 0.0000 x1
Ge 0.0000 0.0000 0.5000 x1
B 0.5000 0.5000 0.5000 x1
H 0.0000 0.5000 0.0000 x2

Results
The total DFT energy (no corrections) comes out at -4.1304 eV/atom. The density of states at the Fermi level is 0.320 states/eV per atom. The spin magnetization comes out at 0.00 μB/f.u. As for the calculated density: 4858 kg/m³.

# 16
Below is crystalline Dy4AlS2 at its relaxed geometry, with properties calculated at the PBE-GGA level.

Cell: 3.9036 13.0274 13.4314 Å, 90.00 90.00 90.00°
Space group Cmcm (No. 63)
Asymmetric unit:
Dy 0.0000 0.0000 0.0000 x4
Dy 0.0000 0.2698 0.1189 x8
Dy 0.0000 0.4322 0.7500 x4
Al 0.0000 0.1066 0.7500 x4
S 0.0000 0.3645 0.5592 x8

Results
The total DFT energy (no corrections) comes out at -5.6085 eV/atom. The density of states at the Fermi level is 0.733 states/eV per atom. The spin magnetization comes out at 0.00 μB/f.u. As for the calculated density: 7207 kg/m³. For the uncorrected formation energy, the calculation gives -1.265 eV/atom.

# 17
Below is crystalline Y2Ho3Mg3 at its relaxed geometry, with properties calculated at the PBE-GGA level.

Cell: 3.7524 5.4194 22.3318 Å, 90.00 90.00 90.00°
Space group Immm (No. 71)
Asymmetric unit:
Y 0.0000 0.0000 0.2342 x4
Ho 0.0000 0.0000 0.0000 x2
Ho 0.0000 0.5000 0.1247 x4
Mg 0.0000 0.0000 0.5000 x2
Mg 0.0000 0.5000 0.3840 x4

Results
The total DFT energy (no corrections) comes out at -3.9845 eV/atom. The density of states at the Fermi level is 1.261 states/eV per atom. The spin magnetization comes out at 0.00 μB/f.u. As for the calculated density: 5452 kg/m³. For the formation energy from the elements, the calculation gives -5.2 kJ/mol of atoms.

# 18
Below is crystalline K2AuBr4 at its relaxed geometry, with properties calculated at the PBE-GGA level.

Cell: 7.9421 6.6544 9.5801 Å, 90.00 105.14 90.00°
Space group P2_1/m (No. 11)
Asymmetric unit:
K 0.2064 0.2500 0.4380 x2
K 0.2356 0.2500 0.9220 x2
Au 0.2850 0.7500 0.1531 x2
Br 0.0752 0.7500 0.9040 x2
Br 0.0866 0.7500 0.3698 x2
Br 0.4888 0.5190 0.7361 x4

Results
The total DFT energy (no corrections) comes out at -2.7085 eV/atom. The density of states at the Fermi level is 0.289 states/eV per atom. The spin magnetization comes out at 0.00 μB/f.u. As for the calculated density: 4042 kg/m³. For the uncorrected formation energy, the calculation gives -0.971 eV/atom.

# 19
Below is crystalline PrCd2Pd3 at its relaxed geometry, with properties calculated at the PBE-GGA level.

Cell: 9.3801 9.6876 5.6211 Å, 90.00 90.00 90.00°
Space group Cmcm (No. 63)
Asymmetric unit:
Pr 0.0000 0.2476 0.2500 x4
Cd 0.2399 0.0000 0.0000 x8
Pd 0.0000 0.4603 0.7500 x4
Pd 0.1783 0.2407 0.7500 x8

Results
The total DFT energy (no corrections) comes out at -4.1760 eV/atom. The density of states at the Fermi level is 0.481 states/eV per atom. The spin magnetization comes out at 0.00 μB/f.u. As for the calculated density: 8907 kg/m³. For the formation energy from the elements, the calculation gives -46.1 kJ/mol of atoms.

# 20
Below is crystalline NdDy12Er7 at its relaxed geometry, with properties calculated at the PBE-GGA level.

Cell: 11.2664 11.2664 11.2664 Å, 90.00 90.00 90.00°
Space group Im-3m (No. 229)
Asymmetric unit:
Nd 0.0000 0.0000 0.0000 x2
Dy 0.0000 0.2567 0.2567 x24
Er 0.0000 0.0000 0.5000 x6
Er 0.2500 0.2500 0.2500 x8

Results
The total DFT energy (no corrections) comes out at -3.8814 eV/atom. For the energy above the lowest structure with this stoichiometry, the calculation gives 8.187 eV per formula unit. The density of states at the Fermi level is 1.201 states/eV per atom. The spin magnetization comes out at 0.00 μB/f.u. As for the calculated density: 7582 kg/m³. For the formation energy from the elements, the calculation gives 69.0 kJ/mol of atoms.